Compound: CaPHO4
Source: Alexandria
Functional: SCAN
Structure: PBEsol geometry

Unit cell a=9.9093 b=6.6928 c=11.1946 alpha=90.00 beta=120.08 gamma=90.00
Space group P2_1/c (No. 14)
Asymmetric unit:
Ca (0.0495, 0.0141, 0.2474) [4 per cell]
Ca (0.2996, 0.2142, 0.0618) [4 per cell]
P (0.1086, 0.7481, 0.0603) [4 per cell]
P (0.3338, 0.5055, 0.3025) [4 per cell]
H (0.3678, 0.1334, 0.3653) [4 per cell]
H (0.3720, 0.5940, 0.9137) [4 per cell]
O (0.0193, 0.2247, 0.3995) [4 per cell]
O (0.0490, 0.7174, 0.9075) [4 per cell]
O (0.1878, 0.5512, 0.6178) [4 per cell]
O (0.2177, 0.0366, 0.8516) [4 per cell]
O (0.2320, 0.5686, 0.1370) [4 per cell]
O (0.3250, 0.0401, 0.4105) [4 per cell]
O (0.4086, 0.1872, 0.7904) [4 per cell]
O (0.4437, 0.6766, 0.3797) [4 per cell]

Values from the calculation:
* crystal system: monoclinic
* density: 2.8 g/cm³
* excess energy over the best structure of this formula in the dataset: 0.023 eV/atom
* raw total energy: -0.7010 Ry per atom



Compound: CaSnP6H12O12
Source: Alexandria
Functional: SCAN
Structure: PBEsol geometry

Unit cell a=11.6841 b=11.6841 c=9.8701 alpha=90.00 beta=90.00 gamma=120.00
Space group R-3 (No. 148, hexagonal axes)
Asymmetric unit:
Ca (0.0000, 0.0000, 0.0000) [3 per cell]
Sn (0.0000, 0.0000, 0.5000) [3 per cell]
P (0.0316, 0.8123, 0.7190) [18 per cell]
H (0.0066, 0.3619, 0.9491) [18 per cell]
H (0.0412, 0.5086, 0.3249) [18 per cell]
O (0.0390, 0.8619, 0.8611) [18 per cell]
O (0.0579, 0.1655, 0.3828) [18 per cell]

Values from the calculation:
* crystal system: trigonal
* density: 2.3 g/cm³
* raw total energy: -0.6159 Ry per atom



Compound: CaH4SO6
Source: Alexandria
Functional: SCAN
Structure: PBEsol geometry

Unit cell a=6.2711 b=14.8724 c=5.6344 alpha=90.00 beta=114.95 gamma=90.00
Space group C2/c (No. 15)
Asymmetric unit:
Ca (0.0000, 0.1674, 0.2500) [4 per cell]
H (0.2440, 0.4125, 0.2345) [8 per cell]
H (0.2498, 0.0018, 0.5922) [8 per cell]
S (0.0000, 0.3291, 0.7500) [4 per cell]
O (0.0866, 0.2729, 0.5922) [8 per cell]
O (0.2030, 0.3860, 0.9211) [8 per cell]
O (0.2139, 0.0669, 0.5829) [8 per cell]

Values from the calculation:
* crystal system: monoclinic
* density: 2.4 g/cm³
* raw total energy: -0.5613 Ry per atom